(1)
Crystalline Pr2CrCdO6 at its relaxed geometry, computed with PBE+U.

Unit cell a=5.054 b=5.452 c=5.452 alpha=90.00 beta=90.00 gamma=90.00
Last column: magnetic moment on the atom in μB.
Positions (direct):
Cr: 0.600 0.000 0.000  2.33
O: 0.730 0.232 0.232  -0.07
O: 0.730 0.768 0.768  -0.07
O: 0.730 0.768 0.232  -0.07
O: 0.730 0.232 0.768  -0.07
O: 0.130 0.500 0.500  -0.01
O: 0.239 0.000 0.000  -0.10
Cd: 0.551 0.500 0.500  0.00
Pr: 0.004 0.500 0.000  0.02
Pr: 0.004 0.000 0.500  0.02

The magnetic moment is 2.00 μB per cell. Its total energy is -6.974 eV per atom. Its space-group type is P4mm.



(2)
Crystalline PrCr2CdO8 at its relaxed geometry, computed with PBE+U.

Unit cell a=6.140 b=6.140 c=6.140 alpha=105.73 beta=105.73 gamma=117.25
Last column: magnetic moment on the atom in μB.
Positions (direct):
O: 0.484 0.661 0.823  0.00
O: 0.339 0.162 0.823  0.00
O: 0.917 0.600 0.682  -0.05
O: 0.339 0.516 0.177  0.00
O: 0.838 0.661 0.177  0.00
O: 0.765 0.083 0.682  -0.05
O: 0.917 0.235 0.318  -0.05
O: 0.400 0.083 0.318  -0.05
Pr: 0.000 0.000 0.000  0.00
Cr: 0.750 0.250 0.500  1.09
Cr: 0.500 0.500 0.000  0.06
Cd: 0.250 0.750 0.500  0.03

The magnetic moment is 1.00 μB per cell. Its total energy is -6.736 eV per atom. Its space-group type is I-4m2.



(3)
Crystalline PuCrCdO6 at its relaxed geometry, computed with PBE+U.

Unit cell a=5.318 b=5.318 c=9.759 alpha=90.00 beta=90.00 gamma=120.00
Last column: magnetic moment on the atom in μB.
Positions (direct):
O: 0.001 0.359 0.640  -0.09
O: 0.999 0.641 0.360  -0.09
O: 0.001 0.642 0.860  -0.09
O: 0.359 0.001 0.140  -0.09
O: 0.641 0.642 0.640  -0.09
O: 0.359 0.358 0.360  -0.09
O: 0.358 0.359 0.860  -0.09
O: 0.642 0.001 0.360  -0.09
O: 0.642 0.641 0.140  -0.09
O: 0.358 0.999 0.640  -0.09
O: 0.999 0.358 0.140  -0.09
O: 0.641 0.999 0.860  -0.09
Cd: 0.000 0.000 0.000  0.00
Cd: 0.000 0.000 0.500  0.00
Cr: 0.667 0.333 0.250  2.88
Cr: 0.333 0.667 0.750  2.88
Pu: 0.333 0.667 0.250  1.64
Pu: 0.667 0.333 0.750  1.64

The magnetic moment is 8.00 μB per cell. Its total energy is -7.745 eV per atom. Its space-group type is P-31c.



(4)
Crystalline Rb3Cr2CdO8 at its relaxed geometry, computed with PBE+U.

Unit cell a=6.018 b=6.018 c=7.917 alpha=90.00 beta=90.00 gamma=120.00
Last column: magnetic moment on the atom in μB.
Positions (direct):
O: 0.179 0.821 0.322  -0.04
O: 0.179 0.357 0.322  -0.04
O: 0.643 0.821 0.322  -0.04
O: 0.333 0.667 0.039  -0.07
O: 0.821 0.179 0.678  -0.04
O: 0.357 0.179 0.678  -0.04
O: 0.821 0.643 0.678  -0.04
O: 0.667 0.333 0.961  -0.07
Rb: 0.000 0.000 0.000  0.00
Rb: 0.333 0.667 0.685  0.00
Rb: 0.667 0.333 0.315  0.00
Cr: 0.333 0.667 0.248  0.71
Cr: 0.667 0.333 0.752  0.71
Cd: 0.000 0.000 0.500  0.01

The magnetic moment is 1.00 μB per cell. Its total energy is -5.671 eV per atom. Its space-group type is P-3m1.



(5)
Crystalline RbCr2CdO8 at its relaxed geometry, computed with PBE+U.

Unit cell a=5.369 b=5.369 c=8.768 alpha=72.17 beta=72.17 gamma=60.00
Last column: magnetic moment on the atom in μB.
Positions (direct):
O: 0.991 0.582 0.165  0.15
O: 0.810 0.810 0.570  0.13
O: 0.582 0.262 0.165  0.15
O: 0.418 0.738 0.835  0.15
O: 0.262 0.991 0.165  0.15
O: 0.738 0.009 0.835  0.15
O: 0.009 0.418 0.835  0.15
O: 0.190 0.190 0.430  0.13
Rb: 0.500 0.500 0.500  0.00
Cr: 0.743 0.743 0.771  -0.17
Cr: 0.257 0.257 0.229  -0.17
Cd: 0.000 0.000 0.000  0.03

The magnetic moment is 1.11 μB per cell. Its total energy is -5.896 eV per atom. Its space-group type is R-3.



(6)
Crystalline CrCd2Rh2O6 at its relaxed geometry, computed with PBE+U.

Unit cell a=5.328 b=5.328 c=5.923 alpha=99.14 beta=99.14 gamma=119.10
Last column: magnetic moment on the atom in μB.
Positions (direct):
O: 0.754 0.754 0.696  0.00
O: 0.246 0.246 0.304  0.00
O: 0.395 0.059 0.693  0.00
O: 0.059 0.395 0.693  0.00
O: 0.941 0.605 0.307  0.00
O: 0.605 0.941 0.307  0.00
Rh: 0.665 0.335 0.500  -0.04
Rh: 0.335 0.665 0.500  -0.04
Cd: 0.171 0.829 0.000  -0.02
Cd: 0.829 0.171 0.000  -0.02
Cr: 0.000 0.000 0.500  -1.05

The magnetic moment is 1.22 μB per cell. Its total energy is -5.707 eV per atom. Its space-group type is C2/m.